Ba3Sr8Ca after structural relaxation, computed with PBE.

## Properties
Excess energy over the best structure of this formula in the dataset ... 4.383 eV/f.u.
Space group ... I-42m, No. 121
DOS(E_F) ... 21.73 states/eV per cell
Formation energy from the elements ... 381.3 meV per atom

abc: 10.290 10.290 10.290
angles: 94.46 117.46 117.46
Fractional positions:
Ba1 0.500 0.750 0.250
Ba2 0.500 0.250 0.750
Ba3 0.000 0.500 0.500
Sr1 0.467 0.200 0.200
Sr2 0.533 0.733 0.733
Sr3 0.000 0.800 0.267
Sr4 0.000 0.267 0.800
Sr5 0.258 0.357 0.357
Sr6 0.742 0.099 0.099
Sr7 0.000 0.643 0.901
Sr8 0.000 0.901 0.643
Ca1 0.000 0.000 0.000

ThGa2SiRu2 after structural relaxation, computed with PBE.

## Properties
Formation energy from raw total energies ... -0.363 eV per atom
Space group ... P4/mmm, No. 123
DOS(E_F) ... 4.12 states/eV per cell

abc: 4.437 4.437 5.715
angles: 90.00 90.00 90.00
Fractional positions:
Th1 0.000 0.000 0.500
Ga1 0.500 0.500 0.729
Ga2 0.500 0.500 0.271
Si1 0.000 0.000 0.000
Ru1 0.500 0.000 0.000
Ru2 0.000 0.500 0.000

LiTaSi2 after structural relaxation, computed with PBE.

## Properties
Excess energy over the best structure of this formula in the dataset ... 0.113 eV/f.u.
Formation energy from raw total energies ... -0.207 eV per atom
Space group ... I4/mmm, No. 139
DOS(E_F) ... 0.78 states/eV per cell

abc: 4.747 4.747 4.748
angles: 133.59 133.59 67.70
Fractional positions:
Li1 0.250 0.750 0.500
Si1 0.000 0.000 0.000
Si2 0.500 0.500 0.000
Ta1 0.750 0.250 0.500

Nd5Ga2Ir after structural relaxation, computed with PBE.

## Properties
Space group ... Pbam, No. 55
DOS(E_F) ... 12.99 states/eV per cell
Formation energy from the elements ... -510.8 meV per atom

abc: 4.727 7.778 12.248
angles: 90.00 90.00 90.00
Fractional positions:
Nd1 0.000 0.000 0.500
Nd2 0.000 0.500 0.000
Nd3 0.000 0.855 0.208
Nd4 0.000 0.145 0.792
Nd5 0.000 0.645 0.708
Nd6 0.000 0.355 0.292
Nd7 0.500 0.686 0.423
Nd8 0.500 0.314 0.577
Nd9 0.500 0.814 0.923
Nd10 0.500 0.186 0.077
Ga1 0.500 0.571 0.167
Ga2 0.500 0.429 0.833
Ga3 0.500 0.929 0.667
Ga4 0.500 0.071 0.333
Ir1 0.000 0.500 0.500
Ir2 0.000 0.000 0.000

ReAsH after structural relaxation, computed with PBE.

## Properties
Space group ... C2/m, No. 12
DOS(E_F) ... 1.67 states/eV per cell
Calculated total energy ... -19.85 eV/f.u.

abc: 3.028 6.207 4.598
angles: 86.34 109.22 90.00
Fractional positions:
Re1 0.633 0.621 0.267
Re2 0.367 0.379 0.733
As1 0.095 0.267 0.191
As2 0.905 0.733 0.809
H1 0.623 0.893 0.246
H2 0.377 0.107 0.754

Dy6HgAs2Se3 after structural relaxation, computed with PBE.

## Properties
Formation energy from raw total energies ... -1.477 eV per atom
Space group ... C2/m, No. 12
DOS(E_F) ... 4.60 states/eV per cell

abc: 4.085 8.366 9.258
angles: 103.01 102.75 90.00
Fractional positions:
Dy1 0.332 0.907 0.663
Dy2 0.670 0.577 0.341
Dy3 0.668 0.093 0.337
Dy4 0.002 0.258 0.004
Dy5 0.998 0.742 0.996
Dy6 0.330 0.423 0.659
Hg1 0.500 0.000 0.000
As1 0.833 0.665 0.666
As2 0.167 0.335 0.334
Se1 0.500 0.500 0.000
Se2 0.832 0.168 0.664
Se3 0.168 0.832 0.336

Zn2FeTe after structural relaxation, computed with PBE.

## Properties
Formation energy from raw total energies ... 0.367 eV per atom
Space group ... Pmmm, No. 47
DOS(E_F) ... 3.81 states/eV per cell

abc: 4.047 3.708 4.624
angles: 90.00 90.00 90.00
Fractional positions:
Fe1 0.500 0.000 0.500
Te1 0.000 0.500 0.500
Zn1 0.000 0.000 0.000
Zn2 0.500 0.500 0.000

NbVCo after structural relaxation, computed with PBE.

## Properties
Excess energy over the best structure of this formula in the dataset ... 0.000 eV/f.u.
Space group ... Imma, No. 74
DOS(E_F) ... 8.45 states/eV per cell
Formation energy from the elements ... -181.9 meV per atom

abc: 5.016 4.901 4.901
angles: 59.34 59.22 59.22
Fractional positions:
Nb1 0.873 0.377 0.377
Nb2 0.127 0.623 0.623
V1 0.500 0.500 0.000
V2 0.500 0.000 0.500
Co1 0.000 0.000 0.000
Co2 0.500 0.000 0.000